{
  "formula": "Li3MgCl",
  "functional": "PBE-GGA",
  "state": "relaxed",
  "lattice": [[5.3682, 0.0000, 0.0000], [0.0000, 5.3682, 0.0000], [0.0000, 0.0000, 5.3682]],
  "species": ["Li", "Li", "Li", "Mg", "Cl"],
  "frac_coords": [[0.0000, 0.0000, 0.5000], [0.0000, 0.5000, 0.0000], [0.5000, 0.0000, 0.0000], [0.0000, 0.0000, 0.0000], [0.5000, 0.5000, 0.5000]],
  "vol_a3_per_cell": 155,
  "dft_energy_ev_per_cell": -8.3,
  "raw_formation_energy_ev_per_atom": 0.17,
  "de_polymorph_ev_per_atom": 0.670
}